Record 1
VASP calculation (PBE) on a geometry-optimized Ac3Ga2SiGe6 structure.

Summary:
Space group = P-3m1, No. 164
Crystal system = trigonal

abc: 6.3751 6.3751 8.6137
angles: 90.00 90.00 120.00
Last column: nearest neighbours and their distance in Å.
Sites, in units of the cell vectors:
Ac: 0.3333 0.6667 0.6366  9 Ge 3.26-3.36, 1 Ga 3.35
Ac: 0.6667 0.3333 0.3634  9 Ge 3.26-3.36, 1 Ga 3.35
Ac: 0.0000 0.0000 0.0000  6 Ge 3.29
Ga: 0.6667 0.3333 0.9745  3 Ge 2.75
Ga: 0.3333 0.6667 0.0255  3 Ge 2.75
Si: 0.0000 0.0000 0.5000  6 Ge 2.80
Ge: 0.6133 0.8066 0.2899  2 Ge 2.68, 1 Ga 2.75, 1 Si 2.80
Ge: 0.1934 0.3867 0.2899  2 Ge 2.68, 1 Ga 2.75, 1 Si 2.80
Ge: 0.1934 0.8066 0.2899  2 Ge 2.68, 1 Ga 2.75, 1 Si 2.80
Ge: 0.8066 0.6133 0.7101  2 Ge 2.68, 1 Ga 2.75, 1 Si 2.80
Ge: 0.3867 0.1934 0.7101  2 Ge 2.68, 1 Ga 2.75, 1 Si 2.80
Ge: 0.8066 0.1934 0.7101  2 Ge 2.68, 1 Ga 2.75, 1 Si 2.80


Record 2
VASP calculation (PBE) on a geometry-optimized AcSmGaGe structure.

Summary:
ΔE to the lowest computed polymorph = 0.000 eV/atom
Space group = Amm2, No. 38
Crystal system = orthorhombic

abc: 4.5613 4.1980 6.2670
angles: 90.00 111.34 90.00
Last column: nearest neighbours and their distance in Å.
Sites, in units of the cell vectors:
Ac: 0.7472 0.5000 0.4945  4 Ge 3.24, 3 Ga 3.24-3.46
Sm: 0.0257 0.0000 0.0514  4 Ga 3.17, 3 Ge 3.25-3.52
Ga: 0.4696 0.5000 0.9393  2 Ge 2.68
Ge: 0.3270 0.0000 0.6541  2 Ga 2.68


Record 3
VASP calculation (PBE) on a geometry-optimized AcSmGaGe structure.

Summary:
ΔE to the lowest computed polymorph = 0.170 eV/atom
Space group = F-43m, No. 216
Crystal system = cubic

abc: 5.3557 5.3557 5.3557
angles: 60.00 60.00 60.00
Last column: nearest neighbours and their distance in Å.
Sites, in units of the cell vectors:
Ac: 0.0000 0.0000 0.0000  4 Ge 3.28, 4 Ga 3.28
Ga: 0.7500 0.7500 0.7500  4 Sm 3.28, 4 Ac 3.28
Ge: 0.2500 0.2500 0.2500  4 Sm 3.28, 4 Ac 3.28
Sm: 0.5000 0.5000 0.5000  4 Ga 3.28, 4 Ge 3.28


Record 4
VASP calculation (PBE) on a geometry-optimized AcGaTc2Ge2 structure.

Summary:
Space group = P4/mmm, No. 123
Crystal system = tetragonal

abc: 4.6373 4.6373 5.8293
angles: 90.00 90.00 90.00
Last column: nearest neighbours and their distance in Å.
Sites, in units of the cell vectors:
Ac: 0.0000 0.0000 0.5000  2 Ga 2.91
Ga: 0.0000 0.0000 0.0000  4 Tc 2.32
Tc: 0.5000 0.0000 0.0000  2 Ga 2.32
Tc: 0.0000 0.5000 0.0000  2 Ga 2.32
Ge: 0.5000 0.5000 0.7537  4 Tc 2.73, 2 Ge 2.87-2.96
Ge: 0.5000 0.5000 0.2463  4 Tc 2.73, 2 Ge 2.87-2.96


Record 5
VASP calculation (PBE) on a geometry-optimized AcGaTcGe2 structure.

Summary:
Space group = Pmma, No. 51
Crystal system = orthorhombic

abc: 5.9849 5.8381 6.1139
angles: 90.00 90.00 90.00
Last column: nearest neighbours and their distance in Å.
Sites, in units of the cell vectors:
Ac: 0.2285 0.2500 0.5000  2 Ga 3.16, 8 Ge 3.34-3.43
Ac: 0.7715 0.7500 0.5000  2 Ga 3.16, 8 Ge 3.34-3.43
Ga: 0.6372 0.7500 0.0000  2 Tc 2.62, 2 Ge 2.66
Ga: 0.3628 0.2500 0.0000  2 Tc 2.62, 2 Ge 2.66
Tc: 0.0000 0.0000 0.0000  4 Ge 2.60, 2 Ga 2.62
Tc: 0.0000 0.5000 0.0000  4 Ge 2.60, 2 Ga 2.62
Ge: 0.7348 0.2500 0.7629  2 Tc 2.60, 1 Ga 2.66, 1 Ge 2.90
Ge: 0.7348 0.2500 0.2371  2 Tc 2.60, 1 Ga 2.66, 1 Ge 2.90
Ge: 0.2652 0.7500 0.7629  2 Tc 2.60, 1 Ga 2.66, 1 Ge 2.90
Ge: 0.2652 0.7500 0.2371  2 Tc 2.60, 1 Ga 2.66, 1 Ge 2.90


Record 6
VASP calculation (PBE) on a geometry-optimized AcGa2Tc2Ge structure.

Summary:
Space group = P4/mmm, No. 123
Crystal system = tetragonal

abc: 4.6426 4.6426 5.9542
angles: 90.00 90.00 90.00
Last column: nearest neighbours and their distance in Å.
Sites, in units of the cell vectors:
Ac: 0.0000 0.0000 0.5000  2 Ge 2.98
Ga: 0.5000 0.5000 0.7553  4 Tc 2.74, 2 Ga 2.91-3.04
Ga: 0.5000 0.5000 0.2447  4 Tc 2.74, 2 Ga 2.91-3.04
Tc: 0.5000 0.0000 0.0000  2 Ge 2.32
Tc: 0.0000 0.5000 0.0000  2 Ge 2.32
Ge: 0.0000 0.0000 0.0000  4 Tc 2.32


Record 7
VASP calculation (PBE) on a geometry-optimized AcTmGaGe structure.

Summary:
Space group = F-43m, No. 216
Crystal system = cubic

abc: 5.2790 5.2790 5.2790
angles: 60.00 60.00 60.00
Last column: nearest neighbours and their distance in Å.
Sites, in units of the cell vectors:
Ac: 0.5000 0.5000 0.5000  4 Ga 3.23, 4 Ge 3.23
Tm: 0.0000 0.0000 0.0000  4 Ga 3.23, 4 Ge 3.23
Ge: 0.2500 0.2500 0.2500  4 Ac 3.23, 4 Tm 3.23
Ga: 0.7500 0.7500 0.7500  4 Ac 3.23, 4 Tm 3.23


Record 8
VASP calculation (PBE) on a geometry-optimized AcYGa2Ge2 structure.

Summary:
Space group = P-3m1, No. 164
Crystal system = trigonal

abc: 4.2405 4.2405 9.1458
angles: 90.00 90.00 120.00
Last column: nearest neighbours and their distance in Å.
Sites, in units of the cell vectors:
Ac: 0.0000 0.0000 0.0000  6 Ga 3.21
Y: 0.0000 0.0000 0.5000  6 Ge 3.02
Ga: 0.6667 0.3333 0.2273  3 Ge 2.55
Ga: 0.3333 0.6667 0.7727  3 Ge 2.55
Ge: 0.6667 0.3333 0.6929  3 Ga 2.55
Ge: 0.3333 0.6667 0.3071  3 Ga 2.55


Record 9
VASP calculation (PBE) on a geometry-optimized AcYGaGe structure.

Summary:
Space group = F-43m, No. 216
Crystal system = cubic

abc: 5.3143 5.3143 5.3143
angles: 60.00 60.00 60.00
Last column: nearest neighbours and their distance in Å.
Sites, in units of the cell vectors:
Y: 0.2500 0.2500 0.2500  4 Ge 3.25, 4 Ga 3.25
Ac: 0.7500 0.7500 0.7500  4 Ga 3.25, 4 Ge 3.25
Ge: 0.0000 0.0000 0.0000  4 Y 3.25, 4 Ac 3.25
Ga: 0.5000 0.5000 0.5000  4 Ac 3.25, 4 Y 3.25


Record 10
VASP calculation (PBE) on a geometry-optimized Ac2ZnGa3Ge4 structure.

Summary:
Space group = P-4m2, No. 115
Crystal system = tetragonal

abc: 4.8538 4.8538 9.5097
angles: 90.00 90.00 90.00
Last column: nearest neighbours and their distance in Å.
Sites, in units of the cell vectors:
Ac: 0.5000 0.0000 0.2509  2 Zn 3.39, 7 Ga 3.39-3.67, 9 Ge 3.40-3.65
Ac: 0.0000 0.5000 0.7491  7 Ga 3.39-3.67, 2 Zn 3.39, 9 Ge 3.40-3.65
Zn: 0.5000 0.5000 0.5000  4 Ge 2.68
Ga: 0.0000 0.0000 0.5000  4 Ge 2.68
Ga: 0.5000 0.0000 0.8859  5 Ge 2.54-2.66
Ga: 0.0000 0.5000 0.1141  5 Ge 2.54-2.66
Ge: 0.5000 0.5000 0.0000  4 Ga 2.66
Ge: 0.0000 0.0000 0.0000  4 Ga 2.66
Ge: 0.5000 0.0000 0.6186  3 Ga 2.54-2.68, 2 Zn 2.68
Ge: 0.0000 0.5000 0.3814  3 Ga 2.54-2.68, 2 Zn 2.68


Record 11
VASP calculation (PBE) on a geometry-optimized Ac2Zn3GaGe4 structure.

Summary:
Space group = P-4m2, No. 115
Crystal system = tetragonal

abc: 4.6949 4.6949 9.8350
angles: 90.00 90.00 90.00
Last column: nearest neighbours and their distance in Å.
Sites, in units of the cell vectors:
Ac: 0.5000 0.0000 0.2485  9 Ge 3.39-3.70, 2 Ga 3.41, 7 Zn 3.41-3.63
Ac: 0.0000 0.5000 0.7515  9 Ge 3.39-3.70, 7 Zn 3.41-3.63, 2 Ga 3.41
Zn: 0.0000 0.0000 0.5000  4 Ge 2.65
Zn: 0.5000 0.0000 0.8793  5 Ge 2.50-2.63
Zn: 0.0000 0.5000 0.1207  5 Ge 2.50-2.63
Ga: 0.5000 0.5000 0.5000  4 Ge 2.65
Ge: 0.5000 0.5000 0.0000  4 Zn 2.63
Ge: 0.0000 0.0000 0.0000  4 Zn 2.63
Ge: 0.5000 0.0000 0.6247  3 Zn 2.50-2.65, 2 Ga 2.65
Ge: 0.0000 0.5000 0.3753  3 Zn 2.50-2.65, 2 Ga 2.65


Record 12
VASP calculation (PBE) on a geometry-optimized Ac2ZnGaGe structure.

Summary:
Space group = P2_1/m, No. 11
Crystal system = monoclinic

abc: 4.7013 6.7791 9.2861
angles: 93.76 90.00 90.00
Last column: nearest neighbours and their distance in Å.
Sites, in units of the cell vectors:
Ac: 0.7500 0.8217 0.6343  3 Zn 3.17-3.19, 2 Ge 3.21, 4 Ga 3.30-3.48
Ac: 0.7500 0.7471 0.0975  1 Zn 3.18, 4 Ge 3.22-3.43, 2 Ga 3.50
Ac: 0.2500 0.1783 0.3657  3 Zn 3.17-3.19, 2 Ge 3.21, 4 Ga 3.30-3.48
Ac: 0.2500 0.2529 0.9025  1 Zn 3.18, 4 Ge 3.22-3.43, 2 Ga 3.50
Zn: 0.2500 0.5072 0.6269  1 Ge 2.65, 3 Ga 2.71-2.75
Zn: 0.7500 0.4928 0.3731  1 Ge 2.65, 3 Ga 2.71-2.75
Ga: 0.2500 0.6927 0.3720  3 Zn 2.71-2.75
Ga: 0.7500 0.3073 0.6280  3 Zn 2.71-2.75
Ge: 0.2500 0.7517 0.8611  1 Zn 2.65
Ge: 0.7500 0.2483 0.1389  1 Zn 2.65


Number 1: raw total energy -4.625 eV/atom. Number 2: raw total energy -4.795 eV/atom. Number 3: raw total energy -4.625 eV/atom. Number 4: raw total energy -6.288 eV/atom. Number 5: raw total energy -5.740 eV/atom. Number 6: raw total energy -6.064 eV/atom. Number 7: raw total energy -4.539 eV/atom. Number 8: raw total energy -4.970 eV/atom. Number 9: raw total energy -5.066 eV/atom. Number 10: raw total energy -4.084 eV/atom. Number 11: raw total energy -3.774 eV/atom. Number 12: raw total energy -3.922 eV/atom.